DFT (PBE-GGA) results for crystalline La4Al2Ga at its relaxed geometry.

Structure (CIF):
```
data_La4Al2Ga
_cell_length_a 5.3150
_cell_length_b 5.3150
_cell_length_c 25.8823
_cell_angle_alpha 90.00
_cell_angle_beta 90.00
_cell_angle_gamma 120.00
_symmetry_space_group_name_H-M 'R -3 m'
_symmetry_Int_Tables_number 166
_symmetry_space_group_name_Hall '-R 3 2"'
loop_
_atom_site_label
_atom_site_type_symbol
_atom_site_fract_x
_atom_site_fract_y
_atom_site_fract_z
La1 La 0.0000 0.0000 0.1211
La2 La 0.0000 0.0000 0.3727
Al1 Al 0.0000 0.0000 0.2489
Ga1 Ga 0.0000 0.0000 0.5000
```

***

DFT (PBE-GGA) results for crystalline LaAl2Ga2 at its relaxed geometry.

Structure (CIF):
```
data_LaAl2Ga2
_cell_length_a 7.991
_cell_length_b 7.991
_cell_length_c 3.288
_cell_angle_alpha 90.00
_cell_angle_beta 90.00
_cell_angle_gamma 90.00
_symmetry_space_group_name_H-M 'P 4/m b m'
_symmetry_Int_Tables_number 127
_symmetry_space_group_name_Hall '-P 4 2ab'
loop_
_atom_site_label
_atom_site_type_symbol
_atom_site_fract_x
_atom_site_fract_y
_atom_site_fract_z
La1 La 0.000 0.000 0.000
Al1 Al 0.122 0.378 0.000
Ga1 Ga 0.166 0.666 0.500
```

***

DFT (PBE-GGA) results for crystalline La2Al5Ga2 at its relaxed geometry.

Structure (CIF):
```
data_La2Al5Ga2
_cell_length_a 4.325
_cell_length_b 4.325
_cell_length_c 10.231
_cell_angle_alpha 90.00
_cell_angle_beta 90.00
_cell_angle_gamma 90.00
_symmetry_space_group_name_H-M 'P 4/m m m'
_symmetry_Int_Tables_number 123
_symmetry_space_group_name_Hall '-P 4 2'
loop_
_atom_site_label
_atom_site_type_symbol
_atom_site_fract_x
_atom_site_fract_y
_atom_site_fract_z
La1 La 0.000 0.000 0.000
La2 La 0.000 0.000 0.500
Al1 Al 0.000 0.500 0.229
Al2 Al 0.500 0.500 0.000
Ga1 Ga 0.500 0.500 0.380
```

***

DFT (PBE-GGA) results for crystalline La5Al2Ga at its relaxed geometry.

Structure (CIF):
```
data_La5Al2Ga
_cell_length_a 8.159
_cell_length_b 8.159
_cell_length_c 14.585
_cell_angle_alpha 90.00
_cell_angle_beta 90.00
_cell_angle_gamma 90.00
_symmetry_space_group_name_H-M 'I 4/m c m'
_symmetry_Int_Tables_number 140
_symmetry_space_group_name_Hall '-I 4 2c'
loop_
_atom_site_label
_atom_site_type_symbol
_atom_site_fract_x
_atom_site_fract_y
_atom_site_fract_z
La1 La 0.000 0.000 0.000
La2 La 0.176 0.324 0.152
Al1 Al 0.115 0.385 0.500
Ga1 Ga 0.000 0.000 0.250
```

***

DFT (PBE-GGA) results for crystalline La7Al2Ga2 at its relaxed geometry.

Structure (CIF):
```
data_La7Al2Ga2
_cell_length_a 8.182
_cell_length_b 11.414
_cell_length_c 7.517
_cell_angle_alpha 90.00
_cell_angle_beta 90.00
_cell_angle_gamma 90.00
_symmetry_space_group_name_H-M 'C m m m'
_symmetry_Int_Tables_number 65
_symmetry_space_group_name_Hall '-C 2 2'
loop_
_atom_site_label
_atom_site_type_symbol
_atom_site_fract_x
_atom_site_fract_y
_atom_site_fract_z
La1 La 0.000 0.000 0.000
La2 La 0.000 0.500 0.263
La3 La 0.250 0.250 0.294
Al1 Al 0.159 0.000 0.500
Ga1 Ga 0.000 0.287 0.000
```

***

DFT (PBE-GGA) results for crystalline LaAl2Ga2 at its relaxed geometry.

Structure (CIF):
```
data_LaAl2Ga2
_cell_length_a 4.523
_cell_length_b 4.523
_cell_length_c 10.376
_cell_angle_alpha 90.00
_cell_angle_beta 90.00
_cell_angle_gamma 90.00
_symmetry_space_group_name_H-M 'I 4/m m m'
_symmetry_Int_Tables_number 139
_symmetry_space_group_name_Hall '-I 4 2'
loop_
_atom_site_label
_atom_site_type_symbol
_atom_site_fract_x
_atom_site_fract_y
_atom_site_fract_z
La1 La 0.000 0.000 0.000
Al1 Al 0.000 0.000 0.377
Ga1 Ga 0.000 0.500 0.250
```

***

DFT (PBE-GGA) results for crystalline La2Al4Ga at its relaxed geometry.

Structure (CIF):
```
data_La2Al4Ga
_cell_length_a 4.862
_cell_length_b 4.862
_cell_length_c 15.780
_cell_angle_alpha 90.00
_cell_angle_beta 90.00
_cell_angle_gamma 90.00
_symmetry_space_group_name_H-M 'I 4/m m m'
_symmetry_Int_Tables_number 139
_symmetry_space_group_name_Hall '-I 4 2'
loop_
_atom_site_label
_atom_site_type_symbol
_atom_site_fract_x
_atom_site_fract_y
_atom_site_fract_z
La1 La 0.000 0.000 0.142
Al1 Al 0.000 0.000 0.342
Al2 Al 0.000 0.500 0.000
Ga1 Ga 0.000 0.000 0.500
```

***

DFT (PBE-GGA) results for crystalline LaAlGa2 at its relaxed geometry.

Structure (CIF):
```
data_LaAlGa2
_cell_length_a 4.490
_cell_length_b 4.490
_cell_length_c 4.405
_cell_angle_alpha 90.00
_cell_angle_beta 90.00
_cell_angle_gamma 90.00
_symmetry_space_group_name_H-M 'P 4/m m m'
_symmetry_Int_Tables_number 123
_symmetry_space_group_name_Hall '-P 4 2'
loop_
_atom_site_label
_atom_site_type_symbol
_atom_site_fract_x
_atom_site_fract_y
_atom_site_fract_z
La1 La 0.000 0.000 0.000
Al1 Al 0.500 0.500 0.000
Ga1 Ga 0.000 0.500 0.500
```

***

DFT (PBE-GGA) results for crystalline La3Al2Ga4 at its relaxed geometry.

Structure (CIF):
```
data_La3Al2Ga4
_cell_length_a 11.668
_cell_length_b 4.367
_cell_length_c 8.777
_cell_angle_alpha 90.00
_cell_angle_beta 99.87
_cell_angle_gamma 90.00
_symmetry_space_group_name_H-M 'C 1 2/m 1'
_symmetry_Int_Tables_number 12
loop_
_symmetry_equiv_pos_as_xyz
'x,y,z'
'-x,-y,-z'
'-x,y,-z'
'x,-y,z'
'x+1/2,y+1/2,z'
'-x+1/2,-y+1/2,-z'
'-x+1/2,y+1/2,-z'
'x+1/2,-y+1/2,z'
loop_
_atom_site_label
_atom_site_type_symbol
_atom_site_fract_x
_atom_site_fract_y
_atom_site_fract_z
La1 La 0.000 0.000 0.000
La2 La 0.165 0.500 0.668
Al1 Al 0.111 0.500 0.278
Ga1 Ga 0.059 0.000 0.392
Ga2 Ga 0.218 0.500 0.051
```

***

DFT (PBE-GGA) results for crystalline La3AlGa2 at its relaxed geometry.

Structure (CIF):
```
data_La3AlGa2
_cell_length_a 3.778
_cell_length_b 3.778
_cell_length_c 11.374
_cell_angle_alpha 90.00
_cell_angle_beta 90.00
_cell_angle_gamma 90.00
_symmetry_space_group_name_H-M 'P 4/m m m'
_symmetry_Int_Tables_number 123
_symmetry_space_group_name_Hall '-P 4 2'
loop_
_atom_site_label
_atom_site_type_symbol
_atom_site_fract_x
_atom_site_fract_y
_atom_site_fract_z
La1 La 0.000 0.000 0.000
La2 La 0.000 0.000 0.331
Al1 Al 0.500 0.500 0.500
Ga1 Ga 0.500 0.500 0.166
```

Output
Energy above the most stable polymorph in this dataset (eV/f.u.): 0.00

***

DFT (PBE-GGA) results for crystalline La8AlGa2 at its relaxed geometry.

Structure (CIF):
```
data_La8AlGa2
_cell_length_a 8.924
_cell_length_b 14.625
_cell_length_c 5.858
_cell_angle_alpha 90.00
_cell_angle_beta 114.15
_cell_angle_gamma 90.00
_symmetry_space_group_name_H-M 'C 1 2/m 1'
_symmetry_Int_Tables_number 12
loop_
_symmetry_equiv_pos_as_xyz
'x,y,z'
'-x,-y,-z'
'-x,y,-z'
'x,-y,z'
'x+1/2,y+1/2,z'
'-x+1/2,-y+1/2,-z'
'-x+1/2,y+1/2,-z'
'x+1/2,-y+1/2,z'
loop_
_atom_site_label
_atom_site_type_symbol
_atom_site_fract_x
_atom_site_fract_y
_atom_site_fract_z
La1 La 0.000 0.229 0.000
La2 La 0.100 0.500 0.805
La3 La 0.193 0.113 0.559
Al1 Al 0.000 0.000 0.000
Ga1 Ga 0.000 0.305 0.500
```

Output
Energy above the most stable polymorph in this dataset (eV/f.u.): 0.15

***

Number 1: formation enthalpy at 0 K -2.06 eV per formula unit, magnetization 0.0 μB per formula unit, raw total energy -0.33899 Ry per atom. Number 2: formation enthalpy at 0 K -1.12 eV per formula unit, magnetization 0.0 μB per formula unit, raw total energy -0.28795 Ry per atom. Number 3: formation enthalpy at 0 K -3.63 eV per formula unit, magnetization 0.0 μB per formula unit, raw total energy -0.31238 Ry per atom. Number 4: formation enthalpy at 0 K -2.65 eV per formula unit, magnetization 0.0 μB per formula unit, raw total energy -0.34730 Ry per atom. Number 5: formation enthalpy at 0 K -2.05 eV per formula unit, magnetization 0.0 μB per formula unit, raw total energy -0.33465 Ry per atom. Number 6: formation enthalpy at 0 K -2.13 eV per formula unit, magnetization 0.0 μB per formula unit, raw total energy -0.30280 Ry per atom. Number 7: formation enthalpy at 0 K 0.09 eV per formula unit, magnetization 0.0 μB per formula unit, raw total energy -0.29148 Ry per atom. Number 8: formation enthalpy at 0 K -1.70 eV per formula unit, magnetization 0.0 μB per formula unit, raw total energy -0.30177 Ry per atom. Number 9: formation enthalpy at 0 K -5.74 eV per formula unit, magnetization 0.0 μB per formula unit, raw total energy -0.32760 Ry per atom. Number 10: formation enthalpy at 0 K -2.99 eV per formula unit, magnetization 0.0 μB per formula unit, raw total energy -0.33777 Ry per atom. Number 11: formation enthalpy at 0 K -2.54 eV per formula unit, magnetization 0.0 μB per formula unit, raw total energy -0.34581 Ry per atom.